# 1
Compound: MnP3
Source: Alexandria
Functional: GGA-PBE
Structure: relaxed

Unit cell a=2.4810 b=2.4810 c=10.8396 alpha=90.00 beta=90.00 gamma=89.92
With the nearest neighbours (Å) after each atom.
Positions (direct):
Mn  0.0000  0.0000  0.0000  4 Mn 2.48, 8 P 2.53
P  0.5000  0.5000  0.8313  4 P 2.48, 4 Mn 2.53
P  0.0000  0.0000  0.5000  4 P 2.48
P  0.5000  0.5000  0.1687  4 P 2.48, 4 Mn 2.53

Values from the calculation:
**DOS(E_F)**: 0.365 states/eV/atom
**Total magnetization**: 2.53 μB per formula unit
**E_form**: 263 meV per atom
**E above lowest polymorph**: 422 meV per atom
**Theoretical density**: 3.68 g/cm3

# 2
Compound: Sc2CrTc
Source: Alexandria
Functional: GGA-PBE
Structure: relaxed

Unit cell a=4.6500 b=4.6500 c=4.6500 alpha=60.00 beta=60.00 gamma=60.00
With the nearest neighbours (Å) after each atom.
Positions (direct):
Sc  0.2500  0.2500  0.2500  4 Cr 2.85, 4 Tc 2.85
Sc  0.7500  0.7500  0.7500  4 Tc 2.85, 4 Cr 2.85
Cr  0.0000  0.0000  0.0000  8 Sc 2.85
Tc  0.5000  0.5000  0.5000  8 Sc 2.85

Values from the calculation:
**DOS(E_F)**: 0.858 states/eV/atom
**Total magnetization**: 4.37 μB per formula unit
**E_form**: 18 meV per atom
**E above lowest polymorph**: 60 meV per atom
**Theoretical density**: 5.60 g/cm3

# 3
Compound: Ag2PdPb2O6
Source: Alexandria
Functional: GGA-PBE
Structure: relaxed

Unit cell a=5.9712 b=5.9712 c=6.3477 alpha=87.59 beta=87.59 gamma=120.94
With the nearest neighbours (Å) after each atom.
Positions (direct):
Ag  0.8584  0.1416  0.0000  2 O 2.11
Ag  0.1416  0.8584  0.0000  2 O 2.11
Pd  0.0000  0.0000  0.5000  6 O 2.03-2.07
Pb  0.3377  0.6623  0.5000  6 O 2.33-2.43
Pb  0.6623  0.3377  0.5000  6 O 2.33-2.43
O  0.6907  0.6907  0.6681  1 Pd 2.03
O  0.9777  0.2716  0.6782  1 Pd 2.07, 1 Ag 2.11
O  0.3093  0.3093  0.3319  1 Pd 2.03
O  0.2716  0.9777  0.6782  1 Pd 2.07, 1 Ag 2.11
O  0.0223  0.7284  0.3218  1 Pd 2.07, 1 Ag 2.11
O  0.7284  0.0223  0.3218  1 Pd 2.07, 1 Ag 2.11

Values from the calculation:
**DOS(E_F)**: 0.427 states/eV/atom
**Total magnetization**: 0.00 μB per formula unit
**Theoretical density**: 7.15 g/cm3
**Formation energy from raw total energies**: -0.511 eV per atom

# 4
Compound: Th3Pa
Source: Alexandria
Functional: GGA-PBE
Structure: relaxed

Unit cell a=5.5585 b=5.5585 c=5.5585 alpha=60.00 beta=60.00 gamma=60.00
With the nearest neighbours (Å) after each atom.
Positions (direct):
Pa  0.5000  0.5000  0.5000  8 Th 3.40
Th  0.0000  0.0000  0.0000  8 Th 3.40
Th  0.7500  0.7500  0.7500  4 Pa 3.40, 4 Th 3.40
Th  0.2500  0.2500  0.2500  4 Th 3.40, 4 Pa 3.40

Values from the calculation:
**DOS(E_F)**: 1.883 states/eV/atom
**Total magnetization**: 0.00 μB per formula unit
**E_form**: 258 meV per atom
**E above lowest polymorph**: 181 meV per atom
**Theoretical density**: 12.68 g/cm3

# 5
Compound: Ho2ScCu2
Source: Alexandria
Functional: GGA-PBE
Structure: relaxed

Unit cell a=3.6853 b=5.9995 c=5.9995 alpha=64.14 beta=72.11 gamma=72.11
With the nearest neighbours (Å) after each atom.
Positions (direct):
Ho  0.2025  0.2975  0.2975  4 Cu 2.95
Ho  0.7975  0.7025  0.7025  4 Cu 2.95
Sc  0.0000  0.0000  0.0000  4 Cu 2.66
Cu  0.5000  0.3019  0.6981  1 Cu 2.52, 2 Sc 2.66
Cu  0.5000  0.6981  0.3019  1 Cu 2.52, 2 Sc 2.66

Values from the calculation:
**DOS(E_F)**: 1.469 states/eV/atom
**Total magnetization**: 0.00 μB per formula unit
**E_form**: -141 meV per atom
**E above lowest polymorph**: 30 meV per atom
**Theoretical density**: 7.49 g/cm3

# 6
Compound: Sm5Al4Tl
Source: Alexandria
Functional: GGA-PBE
Structure: relaxed

Unit cell a=3.6959 b=3.6959 c=18.8387 alpha=90.00 beta=90.00 gamma=90.00
With the nearest neighbours (Å) after each atom.
Positions (direct):
Sm  0.5000  0.5000  0.1107  4 Al 3.20, 4 Tl 3.34
Sm  0.5000  0.5000  0.3066  8 Al 3.18-3.20
Sm  0.5000  0.5000  0.5000  8 Al 3.19
Sm  0.5000  0.5000  0.6934  8 Al 3.18-3.20
Sm  0.5000  0.5000  0.8893  4 Al 3.20, 4 Tl 3.34
Al  0.0000  0.0000  0.2083  8 Sm 3.20
Al  0.0000  0.0000  0.4032  8 Sm 3.18-3.19
Al  0.0000  0.0000  0.5968  8 Sm 3.18-3.19
Al  0.0000  0.0000  0.7917  8 Sm 3.20
Tl  0.0000  0.0000  0.0000  8 Sm 3.34, 4 Tl 3.70

Values from the calculation:
**DOS(E_F)**: 0.349 states/eV/atom
**Total magnetization**: 0.00 μB per formula unit
**E_form**: -374 meV per atom
**Theoretical density**: 6.87 g/cm3

# 7
Compound: Cd2ReP
Source: Alexandria
Functional: GGA-PBE
Structure: relaxed

Unit cell a=2.8900 b=2.8900 c=10.8078 alpha=90.00 beta=90.00 gamma=116.04
With the nearest neighbours (Å) after each atom.
Positions (direct):
Cd  0.0000  0.0000  0.9633  6 Cd 2.89-3.06, 2 Re 2.96
Cd  0.5000  0.5000  0.2383  6 Cd 2.89-3.06
P  0.0000  0.0000  0.5698  2 Re 2.30
Re  0.5000  0.5000  0.7286  2 P 2.30

Values from the calculation:
**DOS(E_F)**: 0.394 states/eV/atom
**Total magnetization**: 0.00 μB per formula unit
**E_form**: 264 meV per atom
**Theoretical density**: 9.05 g/cm3

# 8
Compound: FeRu2Se
Source: Alexandria
Functional: GGA-PBE
Structure: relaxed

Unit cell a=8.1465 b=8.1465 c=8.1465 alpha=20.46 beta=20.46 gamma=20.46
With the nearest neighbours (Å) after each atom.
Positions (direct):
Fe  0.7500  0.7500  0.7500  6 Ru 2.60, 6 Fe 2.89
Ru  0.9999  0.9999  0.9999  3 Se 2.60, 3 Fe 2.60, 6 Ru 2.89
Ru  0.5001  0.5001  0.5001  3 Se 2.60, 3 Fe 2.60, 6 Ru 2.89
Se  0.2500  0.2500  0.2500  6 Ru 2.60, 6 Se 2.89

Values from the calculation:
**DOS(E_F)**: 0.997 states/eV/atom
**Total magnetization**: 3.30 μB per formula unit
**Theoretical density**: 9.67 g/cm3
**Formation energy from raw total energies**: 0.316 eV per atom

# 9
Compound: OsPtNO2
Source: Alexandria
Functional: GGA-PBE
Structure: relaxed

Unit cell a=4.0967 b=4.0967 c=3.7867 alpha=90.00 beta=90.00 gamma=90.00
With the nearest neighbours (Å) after each atom.
Positions (direct):
Os  0.5000  0.5000  0.5000  8 O 2.79, 4 N 2.90
O  0.0000  0.5000  0.0000  2 Pt 2.05
O  0.5000  0.0000  0.0000  2 Pt 2.05
Pt  0.0000  0.0000  0.0000  2 N 1.89, 4 O 2.05
N  0.0000  0.0000  0.5000  2 Pt 1.89

Values from the calculation:
**DOS(E_F)**: 0.539 states/eV/atom
**Total magnetization**: 3.86 μB per formula unit
**Theoretical density**: 11.27 g/cm3
**Formation energy from raw total energies**: 1.466 eV per atom

# 10
Compound: CdHgTe2
Source: Alexandria
Functional: GGA-PBE
Structure: relaxed

Unit cell a=7.7022 b=7.7022 c=6.6798 alpha=54.79 beta=54.79 gamma=90.00
With the nearest neighbours (Å) after each atom.
Positions (direct):
Te  0.8003  0.3003  0.0000  2 Cd 2.91
Te  0.1997  0.6997  0.0000  2 Cd 2.91
Te  0.3003  0.1997  0.0000  2 Cd 2.91
Te  0.6997  0.8003  0.0000  2 Cd 2.91
Hg  0.7500  0.7500  0.5000  8 Te 3.38
Hg  0.2500  0.2500  0.5000  8 Te 3.38
Cd  0.7500  0.2500  0.5000  4 Te 2.91
Cd  0.2500  0.7500  0.5000  4 Te 2.91

Values from the calculation:
**DOS(E_F)**: 0.886 states/eV/atom
**Total magnetization**: 0.00 μB per formula unit
**E above lowest polymorph**: 337 meV per atom
**Theoretical density**: 8.22 g/cm3
**Formation energy from raw total energies**: 0.025 eV per atom

# 11
Compound: AlTc2
Source: Alexandria
Functional: GGA-PBE
Structure: relaxed

Unit cell a=11.9746 b=11.9746 c=11.9746 alpha=161.38 beta=161.38 gamma=26.45
With the nearest neighbours (Å) after each atom.
Positions (direct):
Tc  0.7534  0.7534  0.0000  4 Al 2.65-2.76, 8 Tc 2.74-2.86
Tc  0.2466  0.2466  0.0000  4 Al 2.65-2.76, 8 Tc 2.74-2.86
Tc  0.0034  0.5034  0.5000  4 Al 2.65-2.76, 8 Tc 2.74-2.86
Tc  0.4966  0.9966  0.5000  4 Al 2.65-2.76, 8 Tc 2.74-2.86
Tc  0.5869  0.5869  0.0000  6 Tc 2.63-2.86, 6 Al 2.73-2.74
Tc  0.4131  0.4131  0.0000  6 Tc 2.63-2.86, 6 Al 2.73-2.74
Tc  0.8369  0.3369  0.5000  6 Tc 2.63-2.86, 6 Al 2.73-2.74
Tc  0.6631  0.1631  0.5000  6 Tc 2.63-2.86, 6 Al 2.73-2.74
Al  0.9192  0.9192  0.0000  10 Tc 2.65-2.76, 2 Al 2.83
Al  0.0808  0.0808  0.0000  10 Tc 2.65-2.76, 2 Al 2.83
Al  0.1692  0.6692  0.5000  10 Tc 2.65-2.76, 2 Al 2.83
Al  0.3308  0.8308  0.5000  10 Tc 2.65-2.76, 2 Al 2.83

Values from the calculation:
**DOS(E_F)**: 1.090 states/eV/atom
**Total magnetization**: 0.00 μB per formula unit
**E_form**: -53 meV per atom
**E above lowest polymorph**: 360 meV per atom
**Theoretical density**: 8.46 g/cm3

# 12
Compound: TaRh3
Source: Alexandria
Functional: GGA-PBE
Structure: relaxed

Unit cell a=4.7339 b=4.7339 c=2.8283 alpha=90.00 beta=90.00 gamma=108.92
With the nearest neighbours (Å) after each atom.
Positions (direct):
Ta  0.5000  0.5000  0.0000  10 Rh 2.75-2.76, 2 Ta 2.83
Rh  0.0000  0.0000  0.0000  2 Ta 2.75, 10 Rh 2.76-2.83
Rh  0.0000  0.5000  0.5000  8 Rh 2.75-2.83, 4 Ta 2.76
Rh  0.5000  0.0000  0.5000  8 Rh 2.75-2.83, 4 Ta 2.76

Values from the calculation:
**DOS(E_F)**: 0.627 states/eV/atom
**Total magnetization**: 0.00 μB per formula unit
**E_form**: -376 meV per atom
**Theoretical density**: 13.56 g/cm3

Question: Which value of theoretical density does entry 3 give?
Answer: 7.15 g/cm3

Question: Which value of theoretical density does entry 5 give?
Answer: 7.49 g/cm3